Record 1
## NpPdRh2 (PBE)

Data for a relaxed NpPdRh2 crystal.

Size of the total moment ... 1.72 μB per formula unit
Formation energy ... -0.415 eV/atom
Crystal system ... tetragonal
Electronic total energy ... -34.50 eV per cell
Symmetry ... P4/mmm

abc: 4.1442 4.1442 3.8852
angles: 90.00 90.00 90.00
Fractional positions:
1 Np 0.0000 0.0000 0.0000
2 Pd 0.5000 0.5000 0.0000
3 Rh 0.0000 0.5000 0.5000
4 Rh 0.5000 0.0000 0.5000

=====

Record 2
## Np2Pd3Rh3 (PBE)

Data for a relaxed Np2Pd3Rh3 crystal.

Size of the total moment ... 5.79 μB per formula unit
Formation energy ... -0.236 eV/atom
Crystal system ... trigonal
Electronic total energy ... -65.40 eV per cell
Symmetry ... R32

abc: 5.2316 5.2316 5.2316
angles: 95.92 95.92 95.92
Fractional positions:
1 Np 0.2178 0.2178 0.2178
2 Np 0.7822 0.7822 0.7822
3 Pd 0.2306 0.7694 0.5000
4 Pd 0.5000 0.2306 0.7694
5 Pd 0.7694 0.5000 0.2306
6 Rh 0.0000 0.3019 0.6981
7 Rh 0.3019 0.6981 0.0000
8 Rh 0.6981 0.0000 0.3019

=====

Record 3
## NpPdRh3 (PBE)

Data for a relaxed NpPdRh3 crystal.

Size of the total moment ... 1.68 μB per formula unit
Formation energy ... -0.256 eV/atom
Crystal system ... triclinic
Electronic total energy ... -82.93 eV per cell
Symmetry ... P-1

abc: 4.8557 4.9604 7.5391
angles: 70.89 83.70 70.99
Fractional positions:
1 Np 0.2492 0.1460 0.2074
2 Np 0.7508 0.8540 0.7926
3 Pd 0.2506 0.5455 0.4074
4 Pd 0.7494 0.4545 0.5926
5 Rh 0.2491 0.3475 0.8066
6 Rh 0.2493 0.9449 0.6116
7 Rh 0.2512 0.7470 0.0073
8 Rh 0.7488 0.2530 0.9927
9 Rh 0.7507 0.0551 0.3884
10 Rh 0.7509 0.6525 0.1934

=====

Record 4
## SmNpPdRh (PBE)

Data for a relaxed SmNpPdRh crystal.

Size of the total moment ... 4.34 μB per formula unit
Formation energy ... -0.383 eV/atom
Crystal system ... cubic
Electronic total energy ... -126.95 eV per cell
Symmetry ... F-43m

abc: 6.9964 6.9964 6.9964
angles: 90.00 90.00 90.00
Fractional positions:
1 Sm 0.0000 0.0000 0.0000
2 Sm 0.0000 0.5000 0.5000
3 Sm 0.5000 0.0000 0.5000
4 Sm 0.5000 0.5000 0.0000
5 Np 0.0000 0.0000 0.5000
6 Np 0.0000 0.5000 0.0000
7 Np 0.5000 0.0000 0.0000
8 Np 0.5000 0.5000 0.5000
9 Pd 0.2500 0.2500 0.7500
10 Pd 0.2500 0.7500 0.2500
11 Pd 0.7500 0.2500 0.2500
12 Pd 0.7500 0.7500 0.7500
13 Rh 0.2500 0.2500 0.2500
14 Rh 0.2500 0.7500 0.7500
15 Rh 0.7500 0.2500 0.7500
16 Rh 0.7500 0.7500 0.2500

=====

Record 5
## NpSn4Pd2Rh (PBE)

Data for a relaxed NpSn4Pd2Rh crystal.

Size of the total moment ... 4.12 μB per formula unit
Formation energy ... -0.272 eV/atom
Crystal system ... trigonal
Electronic total energy ... -48.87 eV per cell
Symmetry ... R-3m

abc: 9.3639 9.3639 9.3639
angles: 28.54 28.54 28.54
Fractional positions:
1 Np 0.0000 0.0000 0.0000
2 Sn 0.1294 0.1294 0.1294
3 Sn 0.3937 0.3937 0.3937
4 Sn 0.6063 0.6063 0.6063
5 Sn 0.8706 0.8706 0.8706
6 Pd 0.2400 0.2400 0.2400
7 Pd 0.7600 0.7600 0.7600
8 Rh 0.5000 0.5000 0.5000

=====

Record 6
## NpSnPdRh (PBE)

Data for a relaxed NpSnPdRh crystal.

Size of the total moment ... 3.61 μB per formula unit
Formation energy ... -0.353 eV/atom
Crystal system ... cubic
Electronic total energy ... -123.60 eV per cell
Symmetry ... F-43m

abc: 6.7695 6.7695 6.7695
angles: 90.00 90.00 90.00
Fractional positions:
1 Np 0.0000 0.0000 0.0000
2 Np 0.0000 0.5000 0.5000
3 Np 0.5000 0.0000 0.5000
4 Np 0.5000 0.5000 0.0000
5 Sn 0.0000 0.0000 0.5000
6 Sn 0.0000 0.5000 0.0000
7 Sn 0.5000 0.0000 0.0000
8 Sn 0.5000 0.5000 0.5000
9 Pd 0.2500 0.2500 0.2500
10 Pd 0.2500 0.7500 0.7500
11 Pd 0.7500 0.2500 0.7500
12 Pd 0.7500 0.7500 0.2500
13 Rh 0.2500 0.2500 0.7500
14 Rh 0.2500 0.7500 0.2500
15 Rh 0.7500 0.2500 0.2500
16 Rh 0.7500 0.7500 0.7500

=====

Record 7
## NpZnPdRh (PBE)

Data for a relaxed NpZnPdRh crystal.

Size of the total moment ... 3.55 μB per formula unit
Formation energy ... -0.299 eV/atom
Crystal system ... cubic
Electronic total energy ... -111.83 eV per cell
Symmetry ... F-43m

abc: 6.5661 6.5661 6.5661
angles: 90.00 90.00 90.00
Fractional positions:
1 Np 0.0000 0.0000 0.0000
2 Np 0.0000 0.5000 0.5000
3 Np 0.5000 0.0000 0.5000
4 Np 0.5000 0.5000 0.0000
5 Zn 0.0000 0.0000 0.5000
6 Zn 0.0000 0.5000 0.0000
7 Zn 0.5000 0.0000 0.0000
8 Zn 0.5000 0.5000 0.5000
9 Pd 0.2500 0.2500 0.2500
10 Pd 0.2500 0.7500 0.7500
11 Pd 0.7500 0.2500 0.7500
12 Pd 0.7500 0.7500 0.2500
13 Rh 0.2500 0.2500 0.7500
14 Rh 0.2500 0.7500 0.2500
15 Rh 0.7500 0.2500 0.2500
16 Rh 0.7500 0.7500 0.7500

=====

Record 8
## NpPdRu2 (PBE)

Data for a relaxed NpPdRu2 crystal.

Size of the total moment ... 1.12 μB per formula unit
Formation energy ... -0.136 eV/atom
Offset from the most stable computed form ... 0.0 meV per atom
Crystal system ... tetragonal
Electronic total energy ... -37.23 eV per cell
Symmetry ... P4/mmm

abc: 4.1382 4.1382 3.8013
angles: 90.00 90.00 90.00
Fractional positions:
1 Np 0.0000 0.0000 0.0000
2 Pd 0.5000 0.5000 0.0000
3 Ru 0.0000 0.5000 0.5000
4 Ru 0.5000 0.0000 0.5000